Entry 1
Below is crystalline Mn3HgF at its relaxed geometry, with properties calculated at the GGA+U level.

a = 4.497 Å, b = 4.497 Å, c = 4.497 Å
α = 90.00°, β = 90.00°, γ = 90.00°
Site moments in Bohr magnetons follow the coordinates.
Atoms (fractional coordinates):
F: 0.000 0.000 0.000  0.12
Mn: 0.000 0.000 0.500  4.55
Mn: 0.500 0.000 0.000  4.51
Mn: 0.000 0.500 0.000  4.45
Hg: 0.500 0.500 0.500  -0.05

**Density of states at the Fermi level**: 0.9 states/eV/cell

Entry 2
Below is crystalline Mn3HgF at its relaxed geometry, with properties calculated at the GGA+U level.

a = 5.264 Å, b = 5.264 Å, c = 5.264 Å
α = 90.00°, β = 90.00°, γ = 90.00°
Site moments in Bohr magnetons follow the coordinates.
Atoms (fractional coordinates):
F: 0.500 0.500 0.500  0.05
Mn: 0.500 0.000 0.000  4.58
Hg: 0.000 0.000 0.000  -0.08
Mn: 0.000 0.000 0.500  4.67
Mn: 0.000 0.500 0.000  4.65

**Density of states at the Fermi level**: 2.4 states/eV/cell

entry 1 is favored, and the nearest alternative lies 539 meV/atom above it.